A plane-wave DFT calculation with PBE was carried out for a relaxed Si2SbSe crystal.

Cell: 3.881 3.881 5.862 Å, 90.00 90.00 90.00°
Element x y z (fractional)
Si  0.500  0.500  0.323
Si  0.000  0.000  0.869
Se  0.500  0.500  0.908
Sb  0.000  0.000  0.400

Calculated values
* crystal system: tetragonal
* SG: No. 99
* polymorph energy (0 for the lowest one): 0.42 eV per formula unit

=====

A plane-wave DFT calculation with PBE was carried out for a relaxed Si2SbSe crystal.

Cell: 4.828 4.828 4.828 Å, 60.00 60.00 60.00°
Element x y z (fractional)
Sb  0.500  0.500  0.500
Se  0.000  0.000  0.000
Si  0.250  0.250  0.250
Si  0.750  0.750  0.750

Calculated values
* crystal system: cubic
* SG: No. 225
* polymorph energy (0 for the lowest one): 1.83 eV per formula unit

=====

A plane-wave DFT calculation with PBE was carried out for a relaxed SiSbSe3 crystal.

Cell: 5.284 5.284 5.284 Å, 90.00 90.00 90.00°
Element x y z (fractional)
Se  0.000  0.000  0.500
Se  0.000  0.500  0.000
Se  0.500  0.000  0.000
Si  0.500  0.500  0.500
Sb  0.000  0.000  0.000

Calculated values
* crystal system: cubic
* SG: No. 221
* polymorph energy (0 for the lowest one): 2.47 eV per formula unit

=====

A plane-wave DFT calculation with PBE was carried out for a relaxed SiSbSe2 crystal.

Cell: 7.349 7.349 6.290 Å, 54.26 54.26 90.00°
Element x y z (fractional)
Sb  0.000  0.000  0.000
Sb  0.750  0.250  0.500
Se  0.375  0.410  0.750
Se  0.875  0.840  0.750
Se  0.160  0.625  0.250
Se  0.590  0.125  0.250
Si  0.250  0.750  0.500
Si  0.500  0.500  0.000

Calculated values
* crystal system: tetragonal
* SG: No. 122
* polymorph energy (0 for the lowest one): 0.88 eV per formula unit

=====

A plane-wave DFT calculation with PBE was carried out for a relaxed SiSbSe crystal.

Cell: 5.765 9.749 10.076 Å, 75.47 73.37 72.80°
Element x y z (fractional)
Si  0.468  0.817  0.850
Si  0.058  0.226  0.746
Si  0.864  0.317  0.350
Si  0.516  0.191  0.138
Si  0.970  0.726  0.246
Si  0.155  0.691  0.638
Se  0.089  0.281  0.129
Se  0.889  0.810  0.829
Se  0.500  0.781  0.629
Se  0.472  0.310  0.329
Se  0.201  0.034  0.919
Se  0.845  0.534  0.419
Sb  0.418  0.631  0.087
Sb  0.634  0.373  0.892
Sb  0.102  0.873  0.392
Sb  0.393  0.386  0.659
Sb  0.561  0.886  0.159
Sb  0.863  0.131  0.587

Calculated values
* crystal system: monoclinic
* SG: No. 9
* polymorph energy (0 for the lowest one): 0.00 eV per formula unit

=====

A plane-wave DFT calculation with PBE was carried out for a relaxed SiSbSe2 crystal.

Cell: 4.742 5.192 3.520 Å, 90.00 90.00 90.00°
Element x y z (fractional)
Si  0.500  0.000  0.500
Se  0.000  0.000  0.000
Se  0.500  0.500  0.000
Sb  0.000  0.500  0.500

Calculated values
* crystal system: orthorhombic
* SG: No. 47
* polymorph energy (0 for the lowest one): 1.47 eV per formula unit

=====

> The lowest polymorph energy (0 for the lowest one) belongs to which entry?

SiSbSe